*a*
LaReRu | GGA-PBE | optimized geometry

Structure (CIF):
```
data_LaReRu
_chemical_formula_sum 'La2 Re2 Ru2'
_space_group_name_H-M_alt 'I 4 m m'
_space_group_IT_number 107
_space_group_name_Hall 'I 4 -2'
_cell_length_a 3.0826
_cell_length_b 3.0826
_cell_length_c 12.4890
_cell_angle_alpha 90.00
_cell_angle_beta 90.00
_cell_angle_gamma 90.00
loop_
_atom_site_label
_atom_site_type_symbol
_atom_site_fract_x
_atom_site_fract_y
_atom_site_fract_z
La1 La 0.0000 0.0000 0.0000
Re1 Re 0.0000 0.0000 0.3038
Ru1 Ru 0.0000 0.0000 0.6970
```

Computed properties:
As for the density: 11.9 g cm⁻³. The value obtained for the magnetic moment is 0.00 μB/f.u.

---

*b*
LaReRu | GGA-PBE | optimized geometry

Structure (CIF):
```
data_LaReRu
_chemical_formula_sum 'La4 Re4 Ru4'
_space_group_name_H-M_alt 'F -4 3 m'
_space_group_IT_number 216
_space_group_name_Hall 'F -4 2 3'
_cell_length_a 6.3126
_cell_length_b 6.3126
_cell_length_c 6.3126
_cell_angle_alpha 90.00
_cell_angle_beta 90.00
_cell_angle_gamma 90.00
loop_
_atom_site_label
_atom_site_type_symbol
_atom_site_fract_x
_atom_site_fract_y
_atom_site_fract_z
La1 La 0.0000 0.0000 0.0000
Re1 Re 0.2500 0.2500 0.2500
Ru1 Ru 0.2500 0.2500 0.7500
```

Computed properties:
As for the density: 11.3 g cm⁻³. The value obtained for the magnetic moment is 0.27 μB/f.u.

---

Q: Which of them is the least stable? A: *b*.

---

*a*
LaReRu | GGA-PBE | optimized geometry

Structure (CIF):
```
data_LaReRu
_chemical_formula_sum 'La4 Re4 Ru4'
_space_group_name_H-M_alt 'F -4 3 m'
_space_group_IT_number 216
_space_group_name_Hall 'F -4 2 3'
_cell_length_a 6.4078
_cell_length_b 6.4078
_cell_length_c 6.4078
_cell_angle_alpha 90.00
_cell_angle_beta 90.00
_cell_angle_gamma 90.00
loop_
_atom_site_label
_atom_site_type_symbol
_atom_site_fract_x
_atom_site_fract_y
_atom_site_fract_z
La1 La 0.0000 0.0000 0.0000
Re1 Re 0.2500 0.2500 0.2500
Ru1 Ru 0.0000 0.0000 0.5000
```

Computed properties:
As for the density: 10.8 g cm⁻³. The value obtained for the magnetic moment is 0.00 μB/f.u.

---

*b*
LaReRu | GGA-PBE | optimized geometry

Structure (CIF):
```
data_LaReRu
_chemical_formula_sum 'La1 Re1 Ru1'
_space_group_name_H-M_alt 'P 3 m 1'
_space_group_IT_number 156
_cell_length_a 4.1273
_cell_length_b 4.1273
_cell_length_c 4.7674
_cell_angle_alpha 90.00
_cell_angle_beta 90.00
_cell_angle_gamma 120.00
loop_
_space_group_symop_operation_xyz
'x,y,z'
'-y,x-y,z'
'-x+y,-x,z'
'-y,-x,z'
'-x+y,y,z'
'x,x-y,z'
loop_
_atom_site_label
_atom_site_type_symbol
_atom_site_fract_x
_atom_site_fract_y
_atom_site_fract_z
La1 La 0.0000 0.0000 0.0000
Re1 Re 0.6667 0.3333 0.4560
Ru1 Ru 0.3333 0.6667 0.5347
```

Computed properties:
As for the density: 10.1 g cm⁻³. The value obtained for the magnetic moment is 0.00 μB/f.u.

---

*c*
LaReRu | GGA-PBE | optimized geometry

Structure (CIF):
```
data_LaReRu
_chemical_formula_sum 'La1 Re1 Ru1'
_space_group_name_H-M_alt 'P 3 m 1'
_space_group_IT_number 156
_cell_length_a 2.8949
_cell_length_b 2.8949
_cell_length_c 7.7382
_cell_angle_alpha 90.00
_cell_angle_beta 90.00
_cell_angle_gamma 120.00
loop_
_space_group_symop_operation_xyz
'x,y,z'
'-y,x-y,z'
'-x+y,-x,z'
'-y,-x,z'
'-x+y,y,z'
'x,x-y,z'
loop_
_atom_site_label
_atom_site_type_symbol
_atom_site_fract_x
_atom_site_fract_y
_atom_site_fract_z
La1 La 0.0000 0.0000 0.0000
Re1 Re 0.3333 0.6667 0.3755
Ru1 Ru 0.6667 0.3333 0.6329
```

Computed properties:
As for the density: 12.6 g cm⁻³. The value obtained for the magnetic moment is 0.00 μB/f.u.

---

Q: Which of them is the least stable? A: *a*.

---

*a*
LaReS2 | GGA-PBE | optimized geometry

Structure (CIF):
```
data_LaReS2
_chemical_formula_sum 'La3 Re3 S6'
_space_group_name_H-M_alt 'R -3 m'
_space_group_IT_number 166
_space_group_name_Hall '-R 3 2"'
_cell_length_a 3.2519
_cell_length_b 3.2519
_cell_length_c 27.0328
_cell_angle_alpha 90.00
_cell_angle_beta 90.00
_cell_angle_gamma 120.00
loop_
_atom_site_label
_atom_site_type_symbol
_atom_site_fract_x
_atom_site_fract_y
_atom_site_fract_z
La1 La 0.0000 0.0000 0.0000
Re1 Re 0.0000 0.0000 0.5000
S1 S 0.0000 0.0000 0.1088
```

Computed properties:
As for the density: 7.8 g cm⁻³. The value obtained for the magnetic moment is 0.00 μB/f.u.

---

*b*
LaReS2 | GGA-PBE | optimized geometry

Structure (CIF):
```
data_LaReS2
_chemical_formula_sum 'La3 Re3 S6'
_space_group_name_H-M_alt 'R -3 m'
_space_group_IT_number 166
_space_group_name_Hall '-R 3 2"'
_cell_length_a 3.3952
_cell_length_b 3.3952
_cell_length_c 26.1444
_cell_angle_alpha 90.00
_cell_angle_beta 90.00
_cell_angle_gamma 120.00
loop_
_atom_site_label
_atom_site_type_symbol
_atom_site_fract_x
_atom_site_fract_y
_atom_site_fract_z
La1 La 0.0000 0.0000 0.0000
Re1 Re 0.0000 0.0000 0.5000
S1 S 0.0000 0.0000 0.4143
```

Computed properties:
As for the density: 7.4 g cm⁻³. The value obtained for the magnetic moment is 0.00 μB/f.u.

---

*c*
LaReS2 | GGA-PBE | optimized geometry

Structure (CIF):
```
data_LaReS2
_chemical_formula_sum 'La4 Re4 S8'
_space_group_name_H-M_alt 'F m -3 m'
_space_group_IT_number 225
_space_group_name_Hall '-F 4 2 3'
_cell_length_a 6.6369
_cell_length_b 6.6369
_cell_length_c 6.6369
_cell_angle_alpha 90.00
_cell_angle_beta 90.00
_cell_angle_gamma 90.00
loop_
_atom_site_label
_atom_site_type_symbol
_atom_site_fract_x
_atom_site_fract_y
_atom_site_fract_z
La1 La 0.0000 0.0000 0.0000
Re1 Re 0.0000 0.0000 0.5000
S1 S 0.2500 0.2500 0.2500
```

Computed properties:
As for the density: 8.8 g cm⁻³. The value obtained for the magnetic moment is 0.00 μB/f.u.

---

*d*
LaReS2 | GGA-PBE | optimized geometry

Structure (CIF):
```
data_LaReS2
_chemical_formula_sum 'La4 Re4 S8'
_space_group_name_H-M_alt 'I -4 2 d'
_space_group_IT_number 122
_space_group_name_Hall 'I -4 2bw'
_cell_length_a 5.3768
_cell_length_b 5.3768
_cell_length_c 13.1883
_cell_angle_alpha 90.00
_cell_angle_beta 90.00
_cell_angle_gamma 90.00
loop_
_atom_site_label
_atom_site_type_symbol
_atom_site_fract_x
_atom_site_fract_y
_atom_site_fract_z
La1 La 0.0000 0.0000 0.0000
Re1 Re 0.0000 0.0000 0.5000
S1 S 0.1611 0.2500 0.6250
```

Computed properties:
As for the density: 6.8 g cm⁻³. The value obtained for the magnetic moment is 0.00 μB/f.u.

---

Q: Which of them is the least stable? A: *b*.

---

*a*
LaRe2S2 | GGA-PBE | optimized geometry

Structure (CIF):
```
data_LaRe2S2
_chemical_formula_sum 'La2 Re4 S4'
_space_group_name_H-M_alt 'P 4/m b m'
_space_group_IT_number 127
_space_group_name_Hall '-P 4 2ab'
_cell_length_a 7.8626
_cell_length_b 7.8626
_cell_length_c 3.0063
_cell_angle_alpha 90.00
_cell_angle_beta 90.00
_cell_angle_gamma 90.00
loop_
_atom_site_label
_atom_site_type_symbol
_atom_site_fract_x
_atom_site_fract_y
_atom_site_fract_z
La1 La 0.0000 0.0000 0.0000
Re1 Re 0.1141 0.3859 0.5000
S1 S 0.2197 0.7197 0.0000
```

Computed properties:
As for the density: 10.3 g cm⁻³. The value obtained for the magnetic moment is 0.00 μB/f.u.

---

*b*
LaRe2S2 | GGA-PBE | optimized geometry

Structure (CIF):
```
data_LaRe2S2
_chemical_formula_sum 'La2 Re4 S4'
_space_group_name_H-M_alt 'I 4/m m m'
_space_group_IT_number 139
_space_group_name_Hall '-I 4 2'
_cell_length_a 4.1188
_cell_length_b 4.1188
_cell_length_c 10.9673
_cell_angle_alpha 90.00
_cell_angle_beta 90.00
_cell_angle_gamma 90.00
loop_
_atom_site_label
_atom_site_type_symbol
_atom_site_fract_x
_atom_site_fract_y
_atom_site_fract_z
La1 La 0.0000 0.0000 0.0000
Re1 Re 0.0000 0.5000 0.2500
S1 S 0.0000 0.0000 0.3546
```

Computed properties:
As for the density: 10.3 g cm⁻³. The value obtained for the magnetic moment is 0.00 μB/f.u.

---

Q: Which of them is the least stable? A: *a*.